1.
VASP calculation (PBE) on a relaxed structure of CeTl3Pt8.

Results
As for the space-group type: P3m1 (156). The energy relative to the elements is -0.3453 eV/atom. The calculation puts the density of states at the Fermi level at 0.7587 states/eV per atom.

abc: 5.4846 5.4846 8.9084
angles: 90.00 90.00 120.00
With the nearest neighbours (Å) after each atom.
Element x y z (fractional)
Tl1 0.6667 0.3333 0.4190  12 Pt 3.11-3.30, 1 Tl 3.23, 3 Ce 3.46
Tl2 0.6667 0.3333 0.0567  12 Pt 3.18-3.26, 4 Tl 3.23-3.29
Tl3 0.0000 0.0000 0.9546  12 Pt 3.09-3.31, 3 Tl 3.29, 1 Ce 3.39
Pt1 0.5020 0.4980 0.7457  6 Pt 2.71-2.78
Pt2 0.3333 0.6667 0.9972  6 Pt 2.75-2.79
Pt3 0.1651 0.8349 0.2539  6 Pt 2.71-2.79
Pt4 0.1651 0.3302 0.2539  6 Pt 2.71-2.79
Pt5 0.6698 0.8349 0.2539  6 Pt 2.71-2.79
Pt6 0.5020 0.0040 0.7457  6 Pt 2.71-2.78
Pt7 0.9960 0.4980 0.7457  6 Pt 2.71-2.78
Pt8 0.3333 0.6667 0.4998  6 Pt 2.71
Ce1 0.0000 0.0000 0.5741  12 Pt 3.14-3.26, 4 Tl 3.39-3.46



2.
VASP calculation (PBE) on a relaxed structure of Ce2TlPt.

Results
As for the space-group type: P4/mmm (123). The energy relative to the elements is -0.5075 eV/atom. The energy above the most stable polymorph in this dataset is 119 meV/atom. The calculation puts the density of states at the Fermi level at 2.3501 states/eV per atom.

abc: 4.3634 4.7335 4.7335
angles: 90.00 90.00 90.00
With the nearest neighbours (Å) after each atom.
Element x y z (fractional)
Pt1 0.5000 0.0000 0.0000  8 Ce 3.22, 4 Tl 3.35
Tl1 0.5000 0.5000 0.5000  8 Ce 3.22, 4 Pt 3.35
Ce1 0.0000 0.0000 0.5000  4 Tl 3.22, 4 Pt 3.22, 4 Ce 3.35
Ce2 0.0000 0.5000 0.0000  4 Tl 3.22, 4 Pt 3.22, 4 Ce 3.35



3.
VASP calculation (PBE) on a relaxed structure of CeTmTlPt.

Results
As for the space-group type: F-43m (216). The energy relative to the elements is -0.5851 eV/atom. The calculation puts the density of states at the Fermi level at 1.5492 states/eV per atom.

abc: 5.1896 5.1896 5.1896
angles: 60.00 60.00 60.00
With the nearest neighbours (Å) after each atom.
Element x y z (fractional)
Tl1 0.2500 0.2500 0.2500  4 Tm 3.18, 4 Ce 3.18
Ce1 0.5000 0.5000 0.5000  4 Tl 3.18, 4 Pt 3.18
Pt1 0.7500 0.7500 0.7500  4 Ce 3.18, 4 Tm 3.18
Tm1 0.0000 0.0000 0.0000  4 Pt 3.18, 4 Tl 3.18



4.
VASP calculation (PBE) on a relaxed structure of CeTlZnPt.

Results
As for the space-group type: F-43m (216). The energy relative to the elements is -0.4639 eV/atom. The calculation puts the density of states at the Fermi level at 1.0818 states/eV per atom.

abc: 4.9329 4.9329 4.9329
angles: 60.00 60.00 60.00
With the nearest neighbours (Å) after each atom.
Element x y z (fractional)
Tl1 0.7500 0.7500 0.7500  4 Zn 3.02, 4 Pt 3.02
Ce1 0.2500 0.2500 0.2500  4 Pt 3.02, 4 Zn 3.02
Pt1 0.5000 0.5000 0.5000  4 Tl 3.02, 4 Ce 3.02
Zn1 0.0000 0.0000 0.0000  4 Ce 3.02, 4 Tl 3.02



5.
VASP calculation (PBE) on a relaxed structure of CeTm2Pt.

Results
As for the space-group type: P4/mmm (123). The energy relative to the elements is -0.6035 eV/atom. The energy above the most stable polymorph in this dataset is 0 meV/atom. The calculation puts the density of states at the Fermi level at 1.6116 states/eV per atom.

abc: 3.4806 3.4806 8.4585
angles: 90.00 90.00 90.00
With the nearest neighbours (Å) after each atom.
Element x y z (fractional)
Tm1 0.0000 0.0000 0.8060  4 Pt 2.96, 1 Tm 3.28
Tm2 0.0000 0.0000 0.1940  4 Pt 2.96, 1 Tm 3.28
Ce1 0.5000 0.5000 0.5000  4 Ce 3.48, 8 Tm 3.57
Pt1 0.5000 0.5000 0.0000  8 Tm 2.96



6.
VASP calculation (PBE) on a relaxed structure of CeTmPt4.

Results
As for the space-group type: F-43m (216). The energy relative to the elements is -1.0783 eV/atom. The energy above the most stable polymorph in this dataset is 25 meV/atom. The calculation puts the density of states at the Fermi level at 1.0199 states/eV per atom.

abc: 5.4477 5.4477 5.4477
angles: 60.00 60.00 60.00
With the nearest neighbours (Å) after each atom.
Element x y z (fractional)
Tm1 0.0000 0.0000 0.0000  12 Pt 3.19, 4 Ce 3.34
Pt1 0.6253 0.6253 0.1240  6 Pt 2.72-2.73
Pt2 0.6253 0.6253 0.6253  6 Pt 2.72-2.73
Pt3 0.1240 0.6253 0.6253  6 Pt 2.72-2.73
Pt4 0.6253 0.1240 0.6253  6 Pt 2.72-2.73
Ce1 0.2500 0.2500 0.2500  12 Pt 3.19, 4 Tm 3.34



7.
VASP calculation (PBE) on a relaxed structure of CeTm2Pt9.

Results
As for the space-group type: P4/mmm (123). The energy relative to the elements is -1.0681 eV/atom. The calculation puts the density of states at the Fermi level at 0.5307 states/eV per atom.

abc: 4.1181 4.1181 12.3511
angles: 90.00 90.00 90.00
With the nearest neighbours (Å) after each atom.
Element x y z (fractional)
Tm1 0.0000 0.0000 0.3365  12 Pt 2.88-2.92
Tm2 0.0000 0.0000 0.6635  12 Pt 2.88-2.92
Pt1 0.5000 0.5000 0.3348  8 Pt 2.90-2.91, 4 Tm 2.91
Pt2 0.0000 0.5000 0.8317  8 Pt 2.91-2.93, 2 Tm 2.92, 2 Ce 2.93
Pt3 0.0000 0.5000 0.5000  4 Tm 2.88, 8 Pt 2.90-2.91
Pt4 0.5000 0.0000 0.1683  8 Pt 2.91-2.93, 2 Tm 2.92, 2 Ce 2.93
Pt5 0.5000 0.0000 0.8317  8 Pt 2.91-2.93, 2 Tm 2.92, 2 Ce 2.93
Pt6 0.5000 0.5000 0.0000  4 Ce 2.91, 8 Pt 2.93
Pt7 0.5000 0.0000 0.5000  4 Tm 2.88, 8 Pt 2.90-2.91
Pt8 0.5000 0.5000 0.6652  8 Pt 2.90-2.91, 4 Tm 2.91
Pt9 0.0000 0.5000 0.1683  8 Pt 2.91-2.93, 2 Tm 2.92, 2 Ce 2.93
Ce1 0.0000 0.0000 0.0000  12 Pt 2.91-2.93



8.
VASP calculation (PBE) on a relaxed structure of CeTm2Pt.

Results
As for the space-group type: Fm-3m (225). The energy relative to the elements is -0.3427 eV/atom. The energy above the most stable polymorph in this dataset is 261 meV/atom. The calculation puts the density of states at the Fermi level at 1.9936 states/eV per atom.

abc: 5.0389 5.0389 5.0408
angles: 60.01 60.01 60.00
With the nearest neighbours (Å) after each atom.
Element x y z (fractional)
Tm1 0.7500 0.7500 0.7500  4 Pt 3.09, 4 Ce 3.09
Tm2 0.2500 0.2500 0.2500  4 Pt 3.09, 4 Ce 3.09
Pt1 0.0000 0.0000 0.0000  8 Tm 3.09
Ce1 0.5000 0.5000 0.5000  8 Tm 3.09



9.
VASP calculation (PBE) on a relaxed structure of CeTm2Pt.

Results
As for the space-group type: R3m (160). The energy relative to the elements is -0.4718 eV/atom. The energy above the most stable polymorph in this dataset is 132 meV/atom. The calculation puts the density of states at the Fermi level at 2.0763 states/eV per atom.

abc: 3.8328 3.8328 9.4496
angles: 78.30 78.30 60.00
With the nearest neighbours (Å) after each atom.
Element x y z (fractional)
Ce1 0.5019 0.5019 0.4944  6 Tm 3.62-3.73, 6 Ce 3.83
Tm1 0.2726 0.2726 0.1823  3 Pt 2.76
Tm2 0.0597 0.0597 0.8208  3 Pt 2.77
Pt1 0.6659 0.6659 0.0024  6 Tm 2.76-2.77



10.
VASP calculation (PBE) on a relaxed structure of CeTmPt4.

Results
As for the space-group type: Cmcm (63). The energy relative to the elements is -1.1029 eV/atom. The energy above the most stable polymorph in this dataset is 0 meV/atom. The calculation puts the density of states at the Fermi level at 0.6853 states/eV per atom.

abc: 4.1995 5.7466 10.0016
angles: 90.00 102.12 90.00
With the nearest neighbours (Å) after each atom.
Element x y z (fractional)
Pt1 0.8516 0.5072 0.7032  5 Pt 2.79-2.96, 3 Ce 2.90-2.92, 2 Tm 2.92
Pt2 0.8516 0.9928 0.7032  5 Pt 2.79-2.96, 3 Ce 2.90-2.92, 2 Tm 2.92
Pt3 0.1484 0.4928 0.2968  5 Pt 2.79-2.96, 3 Ce 2.90-2.92, 2 Tm 2.92
Pt4 0.5719 0.2500 0.1439  3 Tm 2.87-2.91, 8 Pt 2.91-2.93, 1 Ce 2.97
Pt5 0.1484 0.0072 0.2968  5 Pt 2.79-2.96, 3 Ce 2.90-2.92, 2 Tm 2.92
Pt6 0.0000 0.5000 0.0000  8 Pt 2.87-2.91, 4 Tm 2.96
Pt7 0.4281 0.7500 0.8561  3 Tm 2.87-2.91, 8 Pt 2.91-2.93, 1 Ce 2.97
Pt8 0.0000 0.0000 0.0000  8 Pt 2.87-2.91, 4 Tm 2.96
Ce1 0.2762 0.7500 0.5524  7 Pt 2.90-2.97
Ce2 0.7238 0.2500 0.4476  7 Pt 2.90-2.97
Tm1 0.4231 0.2500 0.8463  11 Pt 2.87-2.96
Tm2 0.5769 0.7500 0.1537  11 Pt 2.87-2.96



11.
VASP calculation (PBE) on a relaxed structure of Ce3TmPt12.

Results
As for the space-group type: P4/mmm (123). The energy relative to the elements is -1.0206 eV/atom. The calculation puts the density of states at the Fermi level at 0.4528 states/eV per atom.

abc: 4.1493 4.1493 16.5963
angles: 90.00 90.00 90.00
With the nearest neighbours (Å) after each atom.
Element x y z (fractional)
Tm1 0.0000 0.0000 0.0000  12 Pt 2.92-2.93
Pt1 0.5000 0.0000 0.8766  2 Tm 2.92, 8 Pt 2.92-2.93, 2 Ce 2.92
Pt2 0.0000 0.5000 0.8766  8 Pt 2.92-2.93, 2 Tm 2.92, 2 Ce 2.92
Pt3 0.0000 0.5000 0.1234  8 Pt 2.92-2.93, 2 Tm 2.92, 2 Ce 2.92
Pt4 0.5000 0.0000 0.3738  8 Pt 2.93-2.95, 4 Ce 2.95-2.96
Pt5 0.5000 0.0000 0.1234  2 Tm 2.92, 8 Pt 2.92-2.93, 2 Ce 2.92
Pt6 0.5000 0.5000 0.5000  4 Ce 2.93, 8 Pt 2.95
Pt7 0.0000 0.5000 0.6262  8 Pt 2.93-2.95, 4 Ce 2.95-2.96
Pt8 0.5000 0.5000 0.2481  8 Pt 2.93-2.94, 4 Ce 2.93
Pt9 0.5000 0.0000 0.6262  8 Pt 2.93-2.95, 4 Ce 2.95-2.96
Pt10 0.0000 0.5000 0.3738  8 Pt 2.93-2.95, 4 Ce 2.95-2.96
Pt11 0.5000 0.5000 0.0000  8 Pt 2.92, 4 Tm 2.93
Pt12 0.5000 0.5000 0.7519  8 Pt 2.93-2.94, 4 Ce 2.93
Ce1 0.0000 0.0000 0.5000  12 Pt 2.93-2.95
Ce2 0.0000 0.0000 0.7531  12 Pt 2.92-2.96
Ce3 0.0000 0.0000 0.2469  12 Pt 2.92-2.96



12.
VASP calculation (PBE) on a relaxed structure of Ce2TmPt2.

Results
As for the space-group type: P4/mbm (127). The energy relative to the elements is -0.9515 eV/atom. The calculation puts the density of states at the Fermi level at 1.9958 states/eV per atom.

abc: 3.9076 7.8641 7.8641
angles: 90.00 90.00 90.00
With the nearest neighbours (Å) after each atom.
Element x y z (fractional)
Ce1 0.0000 0.1668 0.1668  6 Pt 2.93-3.10
Ce2 0.0000 0.8332 0.8332  6 Pt 2.93-3.10
Ce3 0.0000 0.3332 0.6668  6 Pt 2.93-3.10
Ce4 0.0000 0.6668 0.3332  6 Pt 2.93-3.10
Tm1 0.5000 0.0000 0.5000  4 Pt 3.05
Tm2 0.5000 0.5000 0.0000  4 Pt 3.05
Pt1 0.5000 0.1373 0.8627  6 Ce 2.93-3.10, 2 Tm 3.05, 1 Pt 3.05
Pt2 0.5000 0.6373 0.6373  6 Ce 2.93-3.10, 2 Tm 3.05, 1 Pt 3.05
Pt3 0.5000 0.8627 0.1373  6 Ce 2.93-3.10, 2 Tm 3.05, 1 Pt 3.05
Pt4 0.5000 0.3627 0.3627  6 Ce 2.93-3.10, 2 Tm 3.05, 1 Pt 3.05



> Among the records above, which one has the lowest energy relative to the elements?

number 10